(1)
Density functional theory data (PBE-GGA) for a geometry-optimized OsPdIN2 structure.

Unit cell a=3.814 b=3.814 c=5.998 alpha=90.00 beta=90.00 gamma=90.00
Positions (direct):
Os 0.000 0.000 0.000
Pd 0.500 0.500 0.500
I 0.000 0.000 0.500
N 0.000 0.500 0.000
N 0.500 0.000 0.000

Calculated values
- D(E_F) (states/eV/atom) = 0.381
- distance to the lowest polymorph of the same formula (eV per atom) = 0.000
- V (A^3/atom) = 17.45
- SG = P4/mmm (123)
- energy relative to the elements, uncorrected (eV/atom) = 0.75
- E (eV for the cell shown) = -30.9

(2)
Density functional theory data (PBE-GGA) for a geometry-optimized OsPdIN2 structure.

Unit cell a=3.855 b=3.855 c=7.815 alpha=90.00 beta=90.00 gamma=90.00
Positions (direct):
Os 0.000 0.000 0.000
Pd 0.500 0.500 0.500
I 0.500 0.500 0.000
N 0.000 0.500 0.500
N 0.500 0.000 0.500

Calculated values
- D(E_F) (states/eV/atom) = 0.624
- distance to the lowest polymorph of the same formula (eV per atom) = 1.450
- V (A^3/atom) = 23.23
- SG = P4/mmm (123)
- energy relative to the elements, uncorrected (eV/atom) = 2.20
- E (eV for the cell shown) = -23.6

(3)
Density functional theory data (PBE-GGA) for a geometry-optimized OsPdI2N structure.

Unit cell a=5.522 b=5.522 c=3.700 alpha=90.00 beta=90.00 gamma=90.00
Positions (direct):
Os 0.000 0.000 0.000
Pd 0.500 0.500 0.500
I 0.000 0.500 0.000
I 0.500 0.000 0.000
N 0.000 0.000 0.500

Calculated values
- D(E_F) (states/eV/atom) = 0.991
- distance to the lowest polymorph of the same formula (eV per atom) = 0.000
- V (A^3/atom) = 22.57
- SG = P4/mmm (123)
- energy relative to the elements, uncorrected (eV/atom) = 0.63
- E (eV for the cell shown) = -24.7

(4)
Density functional theory data (PBE-GGA) for a geometry-optimized Pr8Os3I3N structure.

Unit cell a=9.588 b=9.588 c=9.588 alpha=50.91 beta=50.91 gamma=50.91
Positions (direct):
Pr 0.231 0.231 0.231
Pr 0.244 0.713 0.713
Pr 0.287 0.287 0.756
Pr 0.287 0.756 0.287
Pr 0.713 0.244 0.713
Pr 0.713 0.713 0.244
Pr 0.756 0.287 0.287
Pr 0.769 0.769 0.769
Os 0.000 0.000 0.500
Os 0.000 0.500 0.000
Os 0.500 0.000 0.000
I 0.000 0.500 0.500
I 0.500 0.000 0.500
I 0.500 0.500 0.000
N 0.500 0.500 0.500

Calculated values
- D(E_F) (states/eV/atom) = 0.576
- V (A^3/atom) = 32.64
- SG = R-3m (166)
- energy relative to the elements, uncorrected (eV/atom) = -0.51
- E (eV for the cell shown) = -92.6

(5)
Density functional theory data (PBE-GGA) for a geometry-optimized OsPtI2N structure.

Unit cell a=5.469 b=5.469 c=3.684 alpha=90.00 beta=90.00 gamma=90.00
Positions (direct):
Os 0.000 0.000 0.000
Pt 0.500 0.500 0.500
I 0.000 0.500 0.000
I 0.500 0.000 0.000
N 0.000 0.000 0.500

Calculated values
- D(E_F) (states/eV/atom) = 0.991
- distance to the lowest polymorph of the same formula (eV per atom) = 0.000
- V (A^3/atom) = 22.04
- SG = P4/mmm (123)
- energy relative to the elements, uncorrected (eV/atom) = 0.86
- E (eV for the cell shown) = -24.4

(6)
Density functional theory data (PBE-GGA) for a geometry-optimized OsPtI2N structure.

Unit cell a=5.532 b=5.532 c=3.635 alpha=90.00 beta=90.00 gamma=90.00
Positions (direct):
Os 0.000 0.000 0.000
Pt 0.500 0.500 0.500
I 0.000 0.500 0.500
I 0.500 0.000 0.500
N 0.500 0.500 0.000

Calculated values
- D(E_F) (states/eV/atom) = 1.177
- distance to the lowest polymorph of the same formula (eV per atom) = 0.714
- V (A^3/atom) = 22.25
- SG = P4/mmm (123)
- energy relative to the elements, uncorrected (eV/atom) = 1.57
- E (eV for the cell shown) = -20.9

(7)
Density functional theory data (PBE-GGA) for a geometry-optimized Re2OsIN structure.

Unit cell a=4.843 b=4.843 c=4.784 alpha=90.00 beta=90.00 gamma=90.00
Positions (direct):
Re 0.000 0.500 0.000
Re 0.500 0.000 0.000
Os 0.000 0.000 0.500
I 0.000 0.000 0.000
N 0.500 0.500 0.500

Calculated values
- D(E_F) (states/eV/atom) = 1.525
- V (A^3/atom) = 22.44
- SG = P4/mmm (123)
- energy relative to the elements, uncorrected (eV/atom) = 4.14
- E (eV for the cell shown) = -25.3

(8)
Density functional theory data (PBE-GGA) for a geometry-optimized OsSIN2 structure.

Unit cell a=3.830 b=3.830 c=6.311 alpha=90.00 beta=90.00 gamma=90.00
Positions (direct):
Os 0.000 0.000 0.000
S 0.500 0.500 0.000
I 0.500 0.500 0.500
N 0.000 0.500 0.500
N 0.500 0.000 0.500

Calculated values
- D(E_F) (states/eV/atom) = 1.000
- distance to the lowest polymorph of the same formula (eV per atom) = 1.718
- V (A^3/atom) = 18.52
- SG = P4/mmm (123)
- energy relative to the elements, uncorrected (eV/atom) = 2.58
- E (eV for the cell shown) = -20.6

(9)
Density functional theory data (PBE-GGA) for a geometry-optimized OsSI2N structure.

Unit cell a=5.459 b=5.459 c=3.302 alpha=90.00 beta=90.00 gamma=90.00
Positions (direct):
Os 0.000 0.000 0.000
S 0.500 0.500 0.500
I 0.000 0.500 0.500
I 0.500 0.000 0.500
N 0.500 0.500 0.000

Calculated values
- D(E_F) (states/eV/atom) = 0.730
- distance to the lowest polymorph of the same formula (eV per atom) = 0.944
- V (A^3/atom) = 19.68
- SG = P4/mmm (123)
- energy relative to the elements, uncorrected (eV/atom) = 1.72
- E (eV for the cell shown) = -18.2

(10)
Density functional theory data (PBE-GGA) for a geometry-optimized OsSIN2 structure.

Unit cell a=3.856 b=3.856 c=5.456 alpha=90.00 beta=90.00 gamma=90.00
Positions (direct):
Os 0.000 0.000 0.000
S 0.000 0.000 0.500
I 0.500 0.500 0.500
N 0.000 0.500 0.000
N 0.500 0.000 0.000

Calculated values
- D(E_F) (states/eV/atom) = 0.628
- distance to the lowest polymorph of the same formula (eV per atom) = 0.000
- V (A^3/atom) = 16.23
- SG = P4/mmm (123)
- energy relative to the elements, uncorrected (eV/atom) = 0.86
- E (eV for the cell shown) = -29.2

(11)
Density functional theory data (PBE-GGA) for a geometry-optimized OsSIN2 structure.

Unit cell a=3.821 b=3.821 c=5.989 alpha=90.00 beta=90.00 gamma=90.00
Positions (direct):
Os 0.000 0.000 0.000
S 0.500 0.500 0.500
I 0.000 0.000 0.500
N 0.000 0.500 0.000
N 0.500 0.000 0.000

Calculated values
- D(E_F) (states/eV/atom) = 0.754
- distance to the lowest polymorph of the same formula (eV per atom) = 0.053
- V (A^3/atom) = 17.49
- SG = P4/mmm (123)
- energy relative to the elements, uncorrected (eV/atom) = 0.92
- E (eV for the cell shown) = -29.0

(12)
Density functional theory data (PBE-GGA) for a geometry-optimized OsSIN2 structure.

Unit cell a=3.636 b=3.636 c=7.073 alpha=90.00 beta=90.00 gamma=90.00
Positions (direct):
Os 0.000 0.000 0.000
S 0.500 0.500 0.500
I 0.500 0.500 0.000
N 0.000 0.500 0.500
N 0.500 0.000 0.500

Calculated values
- D(E_F) (states/eV/atom) = 0.797
- distance to the lowest polymorph of the same formula (eV per atom) = 1.423
- V (A^3/atom) = 18.70
- SG = P4/mmm (123)
- energy relative to the elements, uncorrected (eV/atom) = 2.29
- E (eV for the cell shown) = -22.1

(13)
Density functional theory data (PBE-GGA) for a geometry-optimized OsSI2N structure.

Unit cell a=5.520 b=5.520 c=3.718 alpha=90.00 beta=90.00 gamma=90.00
Positions (direct):
Os 0.000 0.000 0.000
S 0.500 0.500 0.500
I 0.000 0.500 0.000
I 0.500 0.000 0.000
N 0.000 0.000 0.500

Calculated values
- D(E_F) (states/eV/atom) = 0.824
- distance to the lowest polymorph of the same formula (eV per atom) = 0.000
- V (A^3/atom) = 22.66
- SG = P4/mmm (123)
- energy relative to the elements, uncorrected (eV/atom) = 0.78
- E (eV for the cell shown) = -22.9

(14)
Density functional theory data (PBE-GGA) for a geometry-optimized SbOsI2N structure.

Unit cell a=5.406 b=5.406 c=5.044 alpha=90.00 beta=90.00 gamma=90.00
Positions (direct):
Sb 0.000 0.000 0.000
Os 0.000 0.000 0.500
I 0.000 0.500 0.500
I 0.500 0.000 0.500
N 0.500 0.500 0.000

Calculated values
- D(E_F) (states/eV/atom) = 1.943
- distance to the lowest polymorph of the same formula (eV per atom) = 1.305
- V (A^3/atom) = 29.48
- SG = P4/mmm (123)
- energy relative to the elements, uncorrected (eV/atom) = 1.89
- E (eV for the cell shown) = -17.3

(15)
Density functional theory data (PBE-GGA) for a geometry-optimized SbOsI2N structure.

Unit cell a=5.659 b=5.659 c=3.745 alpha=90.00 beta=90.00 gamma=90.00
Positions (direct):
Sb 0.000 0.000 0.000
Os 0.500 0.500 0.500
I 0.000 0.500 0.500
I 0.500 0.000 0.500
N 0.500 0.500 0.000

Calculated values
- D(E_F) (states/eV/atom) = 0.831
- distance to the lowest polymorph of the same formula (eV per atom) = 0.000
- V (A^3/atom) = 23.99
- SG = P4/mmm (123)
- energy relative to the elements, uncorrected (eV/atom) = 0.58
- E (eV for the cell shown) = -23.9

(16)
Density functional theory data (PBE-GGA) for a geometry-optimized SbOsI2N structure.

Unit cell a=6.141 b=6.141 c=3.936 alpha=90.00 beta=90.00 gamma=90.00
Positions (direct):
Sb 0.000 0.000 0.000
Os 0.500 0.500 0.500
I 0.000 0.500 0.000
I 0.500 0.000 0.000
N 0.000 0.000 0.500

Calculated values
- D(E_F) (states/eV/atom) = 1.261
- distance to the lowest polymorph of the same formula (eV per atom) = 1.240
- V (A^3/atom) = 29.69
- SG = P4/mmm (123)
- energy relative to the elements, uncorrected (eV/atom) = 1.82
- E (eV for the cell shown) = -17.7

(17)
Density functional theory data (PBE-GGA) for a geometry-optimized SbOsI2N structure.

Unit cell a=4.693 b=4.693 c=4.767 alpha=90.00 beta=90.00 gamma=90.00
Positions (direct):
Sb 0.000 0.000 0.000
Os 0.500 0.500 0.000
I 0.000 0.500 0.500
I 0.500 0.000 0.500
N 0.000 0.000 0.500

Calculated values
- D(E_F) (states/eV/atom) = 0.893
- distance to the lowest polymorph of the same formula (eV per atom) = 1.192
- V (A^3/atom) = 21.00
- SG = P4/mmm (123)
- energy relative to the elements, uncorrected (eV/atom) = 1.78
- E (eV for the cell shown) = -17.9

(18)
Density functional theory data (PBE-GGA) for a geometry-optimized ScOsI2N structure.

Unit cell a=5.804 b=5.804 c=3.847 alpha=90.00 beta=90.00 gamma=90.00
Positions (direct):
Sc 0.000 0.000 0.000
Os 0.500 0.500 0.500
I 0.000 0.500 0.000
I 0.500 0.000 0.000
N 0.000 0.000 0.500

Calculated values
- D(E_F) (states/eV/atom) = 1.279
- distance to the lowest polymorph of the same formula (eV per atom) = 0.773
- V (A^3/atom) = 25.92
- SG = P4/mmm (123)
- energy relative to the elements, uncorrected (eV/atom) = 1.08
- E (eV for the cell shown) = -23.6

(19)
Density functional theory data (PBE-GGA) for a geometry-optimized ScOsI2N structure.

Unit cell a=5.603 b=5.603 c=3.738 alpha=90.00 beta=90.00 gamma=90.00
Positions (direct):
Sc 0.000 0.000 0.000
Os 0.500 0.500 0.500
I 0.000 0.500 0.500
I 0.500 0.000 0.500
N 0.500 0.500 0.000

Calculated values
- D(E_F) (states/eV/atom) = 0.945
- distance to the lowest polymorph of the same formula (eV per atom) = 0.000
- V (A^3/atom) = 23.47
- SG = P4/mmm (123)
- energy relative to the elements, uncorrected (eV/atom) = 0.30
- E (eV for the cell shown) = -27.5

(20)
Density functional theory data (PBE-GGA) for a geometry-optimized OsSeI2N structure.

Unit cell a=5.861 b=5.861 c=3.617 alpha=90.00 beta=90.00 gamma=90.00
Positions (direct):
Os 0.000 0.000 0.000
Se 0.500 0.500 0.500
I 0.000 0.500 0.500
I 0.500 0.000 0.500
N 0.500 0.500 0.000

Calculated values
- D(E_F) (states/eV/atom) = 0.848
- distance to the lowest polymorph of the same formula (eV per atom) = 1.205
- V (A^3/atom) = 24.85
- SG = P4/mmm (123)
- energy relative to the elements, uncorrected (eV/atom) = 1.87
- E (eV for the cell shown) = -16.8